Run a
Entry from Alexandria: a geometry-optimized CsKSr2Zn structure (PBE).

Lattice parameters (Å, degrees): 6.3923 6.3923 7.1626 90.00 90.00 90.00
Element x y z (fractional)
Cs1 0.0000 0.0000 0.0000
K1 0.5000 0.5000 0.0000
Sr1 0.0000 0.5000 0.5000
Sr2 0.5000 0.0000 0.5000
Zn1 0.5000 0.5000 0.5000

Space group: No. 123
N(E_F) in states/eV/atom: 0.93

=====

Run b
Entry from Alexandria: a geometry-optimized CsKSr2Zn structure (PBE).

Lattice parameters (Å, degrees): 6.4214 6.4214 7.2685 90.00 90.00 90.00
Element x y z (fractional)
Cs1 0.0000 0.0000 0.0000
K1 0.5000 0.5000 0.0000
Sr1 0.0000 0.5000 0.5000
Sr2 0.5000 0.0000 0.5000
Zn1 0.0000 0.0000 0.5000

Space group: No. 123
N(E_F) in states/eV/atom: 0.77

=====

It is run a that is the most stable of them.

=====

Run a
Entry from Alexandria: a geometry-optimized Cs3KTa structure (PBE).

Lattice parameters (Å, degrees): 7.7164 7.7164 7.7164 90.00 90.00 90.00
Element x y z (fractional)
Cs1 0.0000 0.0000 0.5000
Cs2 0.0000 0.5000 0.0000
Cs3 0.5000 0.0000 0.0000
K1 0.0000 0.0000 0.0000
Ta1 0.5000 0.5000 0.5000

Space group: No. 221
N(E_F) in states/eV/atom: 1.21

=====

Run b
Entry from Alexandria: a geometry-optimized Cs3KTa structure (PBE).

Lattice parameters (Å, degrees): 6.9944 6.9944 6.9944 90.00 90.00 90.00
Element x y z (fractional)
Cs1 0.0000 0.0000 0.5000
Cs2 0.0000 0.5000 0.0000
Cs3 0.5000 0.0000 0.0000
K1 0.5000 0.5000 0.5000
Ta1 0.0000 0.0000 0.0000

Space group: No. 221
N(E_F) in states/eV/atom: 0.18

=====

It is run b that is the most stable of them.

=====

Run a
Entry from Alexandria: a geometry-optimized CsK3Tc structure (PBE).

Lattice parameters (Å, degrees): 7.5903 7.5903 7.5903 90.00 90.00 90.00
Element x y z (fractional)
Cs1 0.0000 0.0000 0.0000
K1 0.0000 0.0000 0.5000
K2 0.0000 0.5000 0.0000
K3 0.5000 0.0000 0.0000
Tc1 0.5000 0.5000 0.5000

Space group: No. 221
N(E_F) in states/eV/atom: 2.08

=====

Run b
Entry from Alexandria: a geometry-optimized CsK3Tc structure (PBE).

Lattice parameters (Å, degrees): 6.4329 6.4329 6.4329 90.00 90.00 90.00
Element x y z (fractional)
Cs1 0.0000 0.0000 0.0000
K1 0.0000 0.5000 0.5000
K2 0.5000 0.0000 0.5000
K3 0.5000 0.5000 0.0000
Tc1 0.5000 0.5000 0.5000

Space group: No. 221
N(E_F) in states/eV/atom: 2.66

=====

It is run b that is the most stable of them.

=====

Run a
Entry from Alexandria: a geometry-optimized CsK2Te2 structure (PBE).

Lattice parameters (Å, degrees): 10.1872 10.1872 3.8587 90.00 90.00 90.00
Element x y z (fractional)
Cs1 0.0000 0.0000 0.0000
Cs2 0.5000 0.5000 0.0000
K1 0.1215 0.3785 0.0000
K2 0.3785 0.8785 0.0000
K3 0.6215 0.1215 0.0000
K4 0.8785 0.6215 0.0000
Te1 0.1753 0.6753 0.5000
Te2 0.3247 0.1753 0.5000
Te3 0.6753 0.8247 0.5000
Te4 0.8247 0.3247 0.5000

Space group: No. 127
N(E_F) in states/eV/atom: 0.16

=====

Run b
Entry from Alexandria: a geometry-optimized CsK2Te2 structure (PBE).

Lattice parameters (Å, degrees): 5.8034 5.8576 14.3229 90.00 98.28 90.00
Element x y z (fractional)
Cs1 0.1766 0.2500 0.2692
Cs2 0.8234 0.7500 0.7308
K1 0.2492 0.7500 0.5004
K2 0.3722 0.2500 0.8806
K3 0.6278 0.7500 0.1194
K4 0.7508 0.2500 0.4996
Te1 0.0739 0.7500 0.9914
Te2 0.3000 0.2500 0.6392
Te3 0.7000 0.7500 0.3608
Te4 0.9261 0.2500 0.0086

Space group: No. 11
N(E_F) in states/eV/atom: 0.23

=====

It is run b that is the most stable of them.

=====

Run a
Entry from Alexandria: a geometry-optimized Cs2KTe6 structure (PBE).

Lattice parameters (Å, degrees): 10.1774 10.1774 10.1774 108.06 77.67 154.63
Element x y z (fractional)
Cs1 0.1417 0.0000 0.1417
Cs2 0.8583 0.0000 0.8583
K1 0.5065 0.0065 0.5000
Te1 0.3209 0.2316 0.5528
Te2 0.3209 0.7680 0.0893
Te3 0.4993 0.2921 0.7928
Te4 0.4993 0.7065 0.2072
Te5 0.6788 0.2316 0.9107
Te6 0.6788 0.7680 0.4472

Space group: No. 44
N(E_F) in states/eV/atom: 0.33

=====

Run b
Entry from Alexandria: a geometry-optimized Cs2KTe6 structure (PBE).

Lattice parameters (Å, degrees): 9.4339 9.4339 6.8368 109.84 109.84 54.72
Element x y z (fractional)
Cs1 0.1119 0.1119 0.3402
Cs2 0.8881 0.8881 0.6599
K1 0.5000 0.5000 0.0000
Te1 0.1256 0.6434 0.1768
Te2 0.2538 0.2538 0.0023
Te3 0.3566 0.8744 0.8232
Te4 0.6434 0.1256 0.1768
Te5 0.7462 0.7462 0.9977
Te6 0.8744 0.3566 0.8232

Space group: No. 12
N(E_F) in states/eV/atom: 0.62

=====

It is run b that is the most stable of them.

=====

Run a
Entry from Alexandria: a geometry-optimized CsKTe3 structure (PBE).

Lattice parameters (Å, degrees): 6.2647 6.2647 6.2647 90.00 90.00 90.00
Element x y z (fractional)
Cs1 0.0000 0.0000 0.0000
K1 0.5000 0.5000 0.5000
Te1 0.0000 0.5000 0.5000
Te2 0.5000 0.0000 0.5000
Te3 0.5000 0.5000 0.0000

Space group: No. 221
N(E_F) in states/eV/atom: 1.45

=====

Run b
Entry from Alexandria: a geometry-optimized CsKTe3 structure (PBE).

Lattice parameters (Å, degrees): 10.1157 5.3641 10.6465 90.00 109.79 90.00
Element x y z (fractional)
Cs1 0.2157 0.2500 0.1008
Cs2 0.7843 0.7500 0.8992
K1 0.1981 0.2500 0.5348
K2 0.8019 0.7500 0.4652
Te1 0.0176 0.7500 0.2644
Te2 0.1095 0.7500 0.7811
Te3 0.4902 0.7500 0.5502
Te4 0.5098 0.2500 0.4498
Te5 0.8905 0.2500 0.2189
Te6 0.9824 0.2500 0.7356

Space group: No. 11
N(E_F) in states/eV/atom: 0.33

=====

It is run b that is the most stable of them.

=====

Run a
Entry from Alexandria: a geometry-optimized Cs3KTe structure (PBE).

Lattice parameters (Å, degrees): 7.5220 7.5220 7.5220 90.00 90.00 90.00
Element x y z (fractional)
Cs1 0.0000 0.0000 0.5000
Cs2 0.0000 0.5000 0.0000
Cs3 0.5000 0.0000 0.0000
K1 0.5000 0.5000 0.5000
Te1 0.0000 0.0000 0.0000

Space group: No. 221
N(E_F) in states/eV/atom: 0.14

=====

Run b
Entry from Alexandria: a geometry-optimized Cs3KTe structure (PBE).

Lattice parameters (Å, degrees): 7.5342 7.5342 7.5342 90.00 90.00 90.00
Element x y z (fractional)
Cs1 0.0000 0.0000 0.5000
Cs2 0.0000 0.5000 0.0000
Cs3 0.5000 0.0000 0.0000
K1 0.0000 0.0000 0.0000
Te1 0.5000 0.5000 0.5000

Space group: No. 221
N(E_F) in states/eV/atom: 0.01

=====

It is run a that is the most stable of them.

=====

Run a
Entry from Alexandria: a geometry-optimized CsK2Te6 structure (PBE).

Lattice parameters (Å, degrees): 9.2662 9.2662 4.6094 104.02 104.02 79.50
Element x y z (fractional)
Cs1 0.0000 0.0000 0.0000
K1 0.3318 0.3318 0.2925
K2 0.6682 0.6682 0.7075
Te1 0.0914 0.5713 0.7971
Te2 0.2641 0.7359 0.5000
Te3 0.4287 0.9086 0.2029
Te4 0.5713 0.0914 0.7971
Te5 0.7359 0.2641 0.5000
Te6 0.9086 0.4287 0.2029

Space group: No. 12
N(E_F) in states/eV/atom: 0.32

=====

Run b
Entry from Alexandria: a geometry-optimized CsK2Te6 structure (PBE).

Lattice parameters (Å, degrees): 9.3981 9.3981 5.0477 95.88 95.88 66.34
Element x y z (fractional)
Cs1 0.0000 0.0000 0.0000
K1 0.3272 0.3272 0.8366
K2 0.6142 0.6142 0.0548
Te1 0.0289 0.5531 0.2862
Te2 0.2738 0.6640 0.4535
Te3 0.3880 0.9150 0.5953
Te4 0.5531 0.0289 0.2862
Te5 0.6640 0.2738 0.4535
Te6 0.9150 0.3880 0.5953

Space group: No. 8
N(E_F) in states/eV/atom: 0.41

=====

It is run a that is the most stable of them.

=====

Run a
Entry from Alexandria: a geometry-optimized Cs2K2Te structure (PBE).

Lattice parameters (Å, degrees): 9.6406 9.6406 7.7559 90.00 90.00 90.00
Element x y z (fractional)
Cs1 0.1553 0.3447 0.0000
Cs2 0.3447 0.8447 0.0000
Cs3 0.6553 0.1553 0.0000
Cs4 0.8447 0.6553 0.0000
K1 0.1775 0.6775 0.5000
K2 0.3225 0.1775 0.5000
K3 0.6775 0.8225 0.5000
K4 0.8225 0.3225 0.5000
Te1 0.0000 0.0000 0.0000
Te2 0.5000 0.5000 0.0000

Space group: No. 127
N(E_F) in states/eV/atom: 0.07

=====

Run b
Entry from Alexandria: a geometry-optimized Cs2K2Te structure (PBE).

Lattice parameters (Å, degrees): 9.3750 9.3750 7.2724 90.00 90.00 90.00
Element x y z (fractional)
Cs1 0.1907 0.3093 0.0000
Cs2 0.3093 0.8093 0.0000
Cs3 0.6907 0.1907 0.0000
Cs4 0.8093 0.6907 0.0000
K1 0.1629 0.6629 0.5000
K2 0.3371 0.1629 0.5000
K3 0.6629 0.8371 0.5000
K4 0.8371 0.3371 0.5000
Te1 0.0000 0.0000 0.5000
Te2 0.5000 0.5000 0.5000

Space group: No. 127
N(E_F) in states/eV/atom: 0.35

=====

It is run b that is the most stable of them.

=====

Run a
Entry from Alexandria: a geometry-optimized Cs3KTl structure (PBE).

Lattice parameters (Å, degrees): 7.6288 7.6288 7.6288 90.00 90.00 90.00
Element x y z (fractional)
Cs1 0.0000 0.0000 0.5000
Cs2 0.0000 0.5000 0.0000
Cs3 0.5000 0.0000 0.0000
K1 0.5000 0.5000 0.5000
Tl1 0.0000 0.0000 0.0000

Space group: No. 221
N(E_F) in states/eV/atom: 1.43

=====

Run b
Entry from Alexandria: a geometry-optimized Cs3KTl structure (PBE).

Lattice parameters (Å, degrees): 5.4359 11.9587 12.9128 86.42 89.98 76.91
Element x y z (fractional)
Cs1 0.0000 0.0000 0.0000
Cs2 0.1282 0.7407 0.4924
Cs3 0.3185 0.3633 0.0264
Cs4 0.4546 0.0882 0.6834
Cs5 0.6713 0.6528 0.8090
Cs6 0.8102 0.3777 0.4665
K1 0.4736 0.0537 0.3131
K2 0.6546 0.6871 0.1796
Tl1 0.2869 0.4243 0.7078
Tl2 0.8404 0.3167 0.7852

Space group: No. 1
N(E_F) in states/eV/atom: 0.86

=====

It is run b that is the most stable of them.

=====

Run a
Entry from Alexandria: a geometry-optimized Cs3KTl structure (PBE).

Lattice parameters (Å, degrees): 15.9533 15.9533 6.2573 90.00 90.00 90.00
Element x y z (fractional)
Cs1 0.0109 0.3163 0.0000
Cs2 0.1074 0.8926 0.5000
Cs3 0.1837 0.5109 0.5000
Cs4 0.3163 0.0109 0.0000
Cs5 0.3926 0.3926 0.0000
Cs6 0.4891 0.8163 0.5000
Cs7 0.5109 0.1837 0.5000
Cs8 0.6074 0.6074 0.0000
Cs9 0.6837 0.9891 0.0000
Cs10 0.8163 0.4891 0.5000
Cs11 0.8926 0.1074 0.5000
Cs12 0.9891 0.6837 0.0000
K1 0.1769 0.1769 0.5000
K2 0.3231 0.6769 0.0000
K3 0.6769 0.3231 0.0000
K4 0.8231 0.8231 0.5000
Tl1 0.0680 0.0680 0.0000
Tl2 0.4320 0.5680 0.5000
Tl3 0.5680 0.4320 0.5000
Tl4 0.9320 0.9320 0.0000

Space group: No. 136
N(E_F) in states/eV/atom: 0.81

=====

Run b
Entry from Alexandria: a geometry-optimized Cs3KTl structure (PBE).

Lattice parameters (Å, degrees): 8.1439 8.1439 8.1439 90.00 90.00 90.00
Element x y z (fractional)
Cs1 0.0000 0.0000 0.5000
Cs2 0.0000 0.5000 0.0000
Cs3 0.5000 0.0000 0.0000
K1 0.0000 0.0000 0.0000
Tl1 0.5000 0.5000 0.5000

Space group: No. 221
N(E_F) in states/eV/atom: 1.75

=====

It is run a that is the most stable of them.

=====

Run a
Entry from Alexandria: a geometry-optimized CsK2Tl6 structure (PBE).

Lattice parameters (Å, degrees): 8.7868 8.7868 5.8751 109.37 109.37 65.55
Element x y z (fractional)
Cs1 0.0000 0.0000 0.0000
K1 0.3553 0.3553 0.8537
K2 0.6447 0.6447 0.1463
Tl1 0.0967 0.4503 0.2719
Tl2 0.3312 0.6688 0.5000
Tl3 0.4503 0.0967 0.2719
Tl4 0.5497 0.9033 0.7281
Tl5 0.6688 0.3312 0.5000
Tl6 0.9033 0.5497 0.7281

Space group: No. 12
N(E_F) in states/eV/atom: 0.41

=====

Run b
Entry from Alexandria: a geometry-optimized CsK2Tl6 structure (PBE).

Lattice parameters (Å, degrees): 9.6991 9.6991 4.0455 90.00 90.00 120.00
Element x y z (fractional)
Cs1 0.0000 0.0000 0.0000
K1 0.3333 0.6667 0.0000
K2 0.6667 0.3333 0.0000
Tl1 0.0000 0.3392 0.5000
Tl2 0.0000 0.6608 0.5000
Tl3 0.3392 0.0000 0.5000
Tl4 0.3392 0.3392 0.5000
Tl5 0.6608 0.0000 0.5000
Tl6 0.6608 0.6608 0.5000

Space group: No. 191
N(E_F) in states/eV/atom: 0.48

=====

It is run b that is the most stable of them.